1.
The following is a PBE calculation of a geometry-optimized SiSbRu2 structure, from Alexandria via LeMat-Bulk.

Results
The volume comes out at 15.171 A^3/atom. The density of states at the Fermi level comes out at 2.42 states/eV/f.u. The raw formation energy is -80 meV/atom.

Cell lengths 4.3006, 4.3006, 3.2810 Å; angles 90.00, 90.00, 89.99 degrees
Closest atoms and distances in Å follow each position.
Fractional positions:
1 Ru 0.5000 0.5000 0.0000  4 Sb 2.70, 4 Si 2.70
2 Ru 0.0000 0.0000 0.0000  4 Si 2.70, 4 Sb 2.70
3 Sb 0.5000 0.0000 0.5000  8 Ru 2.70
4 Si 0.0000 0.5000 0.5000  8 Ru 2.70



2.
The following is a PBE calculation of a geometry-optimized RbMg structure, from Alexandria via LeMat-Bulk.

Results
The volume comes out at 50.228 A^3/atom. The calculation puts the electronic total energy at -7.5 eV for the cell shown. The density of states at the Fermi level comes out at 1.35 states/eV/f.u.

Cell lengths 6.6831, 6.6831, 10.3884 Å; angles 90.00, 90.00, 120.00 degrees
Closest atoms and distances in Å follow each position.
Fractional positions:
1 Rb 0.3333 0.6667 0.7500  2 Mg 3.62, 3 Rb 3.86
2 Rb 0.0000 0.0000 0.7500  3 Rb 3.86, 6 Mg 4.17
3 Rb 0.0000 0.0000 0.2500  3 Rb 3.86, 6 Mg 4.17
4 Rb 0.6667 0.3333 0.2500  2 Mg 3.62, 3 Rb 3.86
5 Mg 0.3333 0.6667 0.4012  1 Mg 3.14
6 Mg 0.6667 0.3333 0.5988  1 Mg 3.14
7 Mg 0.6667 0.3333 0.9012  1 Mg 3.14
8 Mg 0.3333 0.6667 0.0988  1 Mg 3.14



3.
The following is a PBE calculation of a geometry-optimized CaAcCd6 structure, from Alexandria via LeMat-Bulk.

Results
The volume comes out at 27.166 A^3/atom. The calculation puts the electronic total energy at -13.7 eV for the cell shown. The density of states at the Fermi level comes out at 5.21 states/eV/f.u.

Cell lengths 4.9281, 6.5275, 6.7559 Å; angles 90.00, 90.00, 90.00 degrees
Closest atoms and distances in Å follow each position.
Fractional positions:
1 Cd 0.0000 0.7376 0.5000  6 Cd 3.04-3.11, 2 Ca 3.32
2 Cd 0.0000 0.1449 0.2615  6 Cd 3.07-3.22, 2 Ca 3.37
3 Cd 0.0000 0.1449 0.7385  6 Cd 3.07-3.22, 2 Ca 3.37
4 Cd 0.5000 0.8642 0.7333  6 Cd 3.02-3.15
5 Cd 0.5000 0.8642 0.2667  6 Cd 3.02-3.15
6 Cd 0.5000 0.2353 0.0000  6 Cd 3.02-3.09
7 Ca 0.5000 0.3970 0.5000  10 Cd 3.32-3.54
8 Ac 0.0000 0.6119 0.0000  10 Cd 3.47-3.52



4.
The following is a PBE calculation of a geometry-optimized Ac2ScAl3Au4 structure, from Alexandria via LeMat-Bulk.

Results
The volume comes out at 22.944 A^3/atom. The calculation puts the electronic total energy at -46.1 eV for the cell shown. The density of states at the Fermi level comes out at 6.87 states/eV/f.u.

Cell lengths 4.6225, 4.6225, 10.7378 Å; angles 90.00, 90.00, 90.00 degrees
Closest atoms and distances in Å follow each position.
Fractional positions:
1 Au 0.0000 0.0000 0.0000  4 Al 2.66
2 Au 0.0000 0.5000 0.3604  3 Al 2.56-2.75, 2 Sc 2.75
3 Au 0.5000 0.5000 0.0000  4 Al 2.66
4 Au 0.5000 0.0000 0.6396  3 Al 2.56-2.75, 2 Sc 2.75
5 Sc 0.5000 0.5000 0.5000  4 Au 2.75
6 Al 0.0000 0.5000 0.1225  5 Au 2.56-2.66
7 Al 0.5000 0.0000 0.8775  5 Au 2.56-2.66
8 Al 0.0000 0.0000 0.5000  4 Au 2.75
9 Ac 0.5000 0.0000 0.2378  8 Au 3.44-3.52, 6 Al 3.50-3.64, 2 Sc 3.64
10 Ac 0.0000 0.5000 0.7622  8 Au 3.44-3.52, 6 Al 3.50-3.64, 2 Sc 3.64



5.
The following is a PBE calculation of a geometry-optimized Cu2AsSe structure, from Alexandria via LeMat-Bulk.

Results
The volume comes out at 18.136 A^3/atom. The density of states at the Fermi level comes out at 3.24 states/eV/f.u. The raw formation energy is 257 meV/atom.

Cell lengths 9.8258, 9.8258, 9.8258 Å; angles 17.22, 17.22, 17.22 degrees
Closest atoms and distances in Å follow each position.
Fractional positions:
1 Cu 0.9914 0.9914 0.9914  3 As 2.56, 3 Cu 2.57
2 Cu 0.2583 0.2583 0.2583  3 Se 2.54, 3 Cu 2.57
3 As 0.7238 0.7238 0.7238  3 Cu 2.56
4 Se 0.5265 0.5265 0.5265  3 Cu 2.54



6.
The following is a PBE calculation of a geometry-optimized Be2TcAs structure, from Alexandria via LeMat-Bulk.

Results
The volume comes out at 12.227 A^3/atom. The calculation puts the electronic total energy at -21.0 eV for the cell shown. The density of states at the Fermi level comes out at 1.63 states/eV/f.u.

Cell lengths 4.1049, 4.1049, 4.1049 Å; angles 60.00, 60.00, 60.00 degrees
Closest atoms and distances in Å follow each position.
Fractional positions:
1 Be 0.2500 0.2500 0.2500  4 Be 2.51, 4 As 2.51
2 Be 0.0000 0.0000 0.0000  4 Tc 2.51, 4 Be 2.51
3 Tc 0.7500 0.7500 0.7500  4 As 2.51, 4 Be 2.51
4 As 0.5000 0.5000 0.5000  4 Be 2.51, 4 Tc 2.51



7.
The following is a PBE calculation of a geometry-optimized Pu3CoSi2 structure, from Alexandria via LeMat-Bulk.

Results
The volume comes out at 18.255 A^3/atom. The density of states at the Fermi level comes out at 17.05 states/eV/f.u. The raw formation energy is -377 meV/atom.

Cell lengths 4.2627, 9.1504, 11.2324 Å; angles 90.00, 90.00, 90.00 degrees
Closest atoms and distances in Å follow each position.
Fractional positions:
1 Si 0.7500 0.9506 0.7062  1 Co 2.42
2 Si 0.2500 0.0494 0.2938  1 Co 2.42
3 Si 0.7500 0.1670 0.0127  3 Co 2.37-2.44
4 Si 0.7500 0.5494 0.2062  1 Co 2.42
5 Si 0.2500 0.4506 0.7938  1 Co 2.42
6 Si 0.7500 0.3330 0.5128  3 Co 2.37-2.44
7 Si 0.2500 0.8330 0.9872  3 Co 2.37-2.44
8 Si 0.2500 0.6670 0.4872  3 Co 2.37-2.44
9 Co 0.2500 0.4340 0.5790  4 Si 2.37-2.44
10 Co 0.2500 0.0660 0.0790  4 Si 2.37-2.44
11 Co 0.7500 0.9340 0.9210  4 Si 2.37-2.44
12 Co 0.7500 0.5660 0.4210  4 Si 2.37-2.44
13 Pu 0.2500 0.1160 0.8377  2 Pu 2.63, 3 Co 2.75-2.86, 2 Si 2.94
14 Pu 0.7500 0.6160 0.6623  2 Pu 2.63, 3 Co 2.75-2.86, 2 Si 2.94
15 Pu 0.2500 0.7486 0.2437  2 Pu 2.63, 4 Si 2.81-2.84
16 Pu 0.2500 0.3957 0.0554  5 Si 2.98-3.06, 1 Co 3.03, 3 Pu 3.12-3.17
17 Pu 0.7500 0.8840 0.1623  2 Pu 2.63, 3 Co 2.75-2.86, 2 Si 2.94
18 Pu 0.2500 0.1043 0.5554  5 Si 2.98-3.06, 1 Co 3.03, 3 Pu 3.12-3.17
19 Pu 0.7500 0.2514 0.7563  2 Pu 2.63, 4 Si 2.81-2.84
20 Pu 0.7500 0.2486 0.2563  2 Pu 2.63, 4 Si 2.81-2.84
21 Pu 0.2500 0.3840 0.3377  2 Pu 2.63, 3 Co 2.75-2.86, 2 Si 2.94
22 Pu 0.7500 0.6043 0.9446  5 Si 2.98-3.06, 1 Co 3.03, 3 Pu 3.12-3.17
23 Pu 0.7500 0.8957 0.4446  5 Si 2.98-3.06, 1 Co 3.03, 3 Pu 3.12-3.17
24 Pu 0.2500 0.7514 0.7437  2 Pu 2.63, 4 Si 2.81-2.84



8.
The following is a PBE calculation of a geometry-optimized CaHAu3 structure, from Alexandria via LeMat-Bulk.

Results
The volume comes out at 35.598 A^3/atom. The calculation puts the electronic total energy at -10.5 eV for the cell shown. The density of states at the Fermi level comes out at 3.82 states/eV/f.u.

Cell lengths 5.6251, 5.6251, 5.6251 Å; angles 90.00, 90.00, 90.00 degrees
Closest atoms and distances in Å follow each position.
Fractional positions:
1 Ca 0.0000 0.0000 0.0000  6 Au 2.81
2 Au 0.0000 0.0000 0.5000  2 Ca 2.81
3 Au 0.5000 0.0000 0.0000  2 Ca 2.81
4 Au 0.0000 0.5000 0.0000  2 Ca 2.81
5 H 0.5000 0.5000 0.5000  12 Au 3.98



9.
The following is a PBE calculation of a geometry-optimized NaTb3Pr2Se6 structure, from Alexandria via LeMat-Bulk.

Results
The volume comes out at 25.797 A^3/atom. The density of states at the Fermi level comes out at 3.51 states/eV/f.u. The raw formation energy is -1786 meV/atom.

Cell lengths 4.1457, 8.4147, 9.3729 Å; angles 103.53, 102.78, 90.00 degrees
Closest atoms and distances in Å follow each position.
Fractional positions:
1 Tb 0.5000 0.5000 0.0000  6 Se 2.86-2.92
2 Tb 0.1664 0.8279 0.3327  6 Se 2.86-2.94
3 Tb 0.8336 0.1721 0.6673  6 Se 2.86-2.94
4 Na 0.5000 0.0000 0.0000  6 Se 2.99
5 Se 0.3388 0.4079 0.6776  3 Tb 2.86, 3 Pr 2.98-2.99
6 Se 0.9980 0.2548 0.9961  3 Tb 2.92, 2 Na 2.99, 1 Pr 3.06
7 Se 0.0020 0.7452 0.0039  3 Tb 2.92, 2 Na 2.99, 1 Pr 3.06
8 Se 0.6612 0.5921 0.3224  3 Tb 2.86, 3 Pr 2.98-2.99
9 Se 0.6681 0.0736 0.3363  3 Tb 2.92-2.94, 1 Na 2.99, 2 Pr 3.06
10 Se 0.3319 0.9264 0.6637  3 Tb 2.92-2.94, 1 Na 2.99, 2 Pr 3.06
11 Pr 0.8296 0.6574 0.6592  6 Se 2.98-3.06
12 Pr 0.1704 0.3426 0.3408  6 Se 2.98-3.06



10.
The following is a PBE calculation of a geometry-optimized Cd4PtCl structure, from Alexandria via LeMat-Bulk.

Results
The volume comes out at 21.815 A^3/atom. The density of states at the Fermi level comes out at 3.11 states/eV/f.u. The raw formation energy is 159 meV/atom.

Cell lengths 5.6991, 5.6991, 5.6991 Å; angles 60.00, 60.00, 60.00 degrees
Closest atoms and distances in Å follow each position.
Fractional positions:
1 Pt 0.0000 0.0000 0.0000  12 Cd 3.34, 4 Cl 3.49
2 Cd 0.3745 0.3745 0.8764  6 Cd 2.84-2.86
3 Cd 0.3745 0.8764 0.3745  6 Cd 2.84-2.86
4 Cd 0.8764 0.3745 0.3745  6 Cd 2.84-2.86
5 Cd 0.3745 0.3745 0.3745  6 Cd 2.84-2.86
6 Cl 0.7500 0.7500 0.7500  12 Cd 3.34, 4 Pt 3.49



11.
The following is a PBE calculation of a geometry-optimized MgZrSi structure, from Alexandria via LeMat-Bulk.

Results
The volume comes out at 19.168 A^3/atom. The density of states at the Fermi level comes out at 1.30 states/eV/f.u. The raw formation energy is -171 meV/atom.

Cell lengths 5.7334, 5.7334, 5.7334 Å; angles 150.10, 142.07, 49.03 degrees
Closest atoms and distances in Å follow each position.
Fractional positions:
1 Mg 0.9816 0.9816 0.0000  4 Si 2.83, 2 Mg 2.96, 1 Zr 3.10
2 Zr 0.6846 0.6846 0.0000  4 Si 2.84, 2 Zr 2.96, 1 Mg 3.10
3 Si 0.3339 0.3339 0.0000  4 Mg 2.83, 4 Zr 2.84, 2 Si 2.96



12.
The following is a PBE calculation of a geometry-optimized Ac2GaSb3Ir4 structure, from Alexandria via LeMat-Bulk.

Results
The volume comes out at 22.186 A^3/atom. The density of states at the Fermi level comes out at 6.66 states/eV/f.u. The raw formation energy is -655 meV/atom.

Cell lengths 4.5204, 4.5204, 10.8571 Å; angles 90.00, 90.00, 90.00 degrees
Closest atoms and distances in Å follow each position.
Fractional positions:
1 Ir 0.0000 0.5000 0.3758  3 Sb 2.63, 2 Ga 2.63
2 Ir 0.0000 0.0000 0.0000  4 Sb 2.69
3 Ir 0.5000 0.0000 0.6242  3 Sb 2.63, 2 Ga 2.63
4 Ir 0.5000 0.5000 0.0000  4 Sb 2.69
5 Ac 0.5000 0.0000 0.2577  8 Ir 3.44-3.60, 6 Sb 3.47, 2 Ga 3.47
6 Ac 0.0000 0.5000 0.7423  8 Ir 3.44-3.60, 6 Sb 3.47, 2 Ga 3.47
7 Sb 0.0000 0.0000 0.5000  4 Ir 2.63
8 Sb 0.0000 0.5000 0.1338  5 Ir 2.63-2.69
9 Sb 0.5000 0.0000 0.8662  5 Ir 2.63-2.69
10 Ga 0.5000 0.5000 0.5000  4 Ir 2.63